Computed, not measured: crystalline CdNiBi2 at its relaxed geometry at the GGA-PBE level of DFT.

Cell lengths 5.1601, 5.1601, 5.1601 Å; angles 60.00, 60.00, 60.00 degrees
Atoms (fractional coordinates):
Bi: 0.2500 0.2500 0.2500
Bi: 0.5000 0.5000 0.5000
Cd: 0.7500 0.7500 0.7500
Ni: 0.0000 0.0000 0.0000

Computed, not measured: crystalline GaAsIrAu at its relaxed geometry at the GGA-PBE level of DFT.

Cell lengths 4.5714, 4.5714, 4.5714 Å; angles 60.00, 60.00, 60.00 degrees
Atoms (fractional coordinates):
As: 0.2500 0.2500 0.2500
Au: 0.7500 0.7500 0.7500
Ga: 0.0000 0.0000 0.0000
Ir: 0.5000 0.5000 0.5000

Computed, not measured: crystalline RbCuTcTe3 at its relaxed geometry at the GGA-PBE level of DFT.

Cell lengths 13.1380, 4.0125, 12.8838 Å; angles 90.00, 90.00, 90.00 degrees
Atoms (fractional coordinates):
Cu: 0.2613 0.2500 0.2013
Cu: 0.7613 0.2500 0.2987
Cu: 0.2387 0.7500 0.7013
Cu: 0.7387 0.7500 0.7987
Rb: 0.1580 0.7500 0.0146
Rb: 0.6580 0.7500 0.4854
Rb: 0.3420 0.2500 0.5146
Rb: 0.8420 0.2500 0.9854
Tc: 0.5314 0.7500 0.1447
Tc: 0.0314 0.7500 0.3553
Tc: 0.9686 0.2500 0.6447
Tc: 0.4686 0.2500 0.8553
Te: 0.4108 0.2500 0.0629
Te: 0.7342 0.7500 0.1816
Te: 0.0336 0.2500 0.2145
Te: 0.5336 0.2500 0.2855
Te: 0.2342 0.7500 0.3184
Te: 0.9108 0.2500 0.4371
Te: 0.0892 0.7500 0.5629
Te: 0.7658 0.2500 0.6816
Te: 0.4664 0.7500 0.7145
Te: 0.9664 0.7500 0.7855
Te: 0.2658 0.2500 0.8184
Te: 0.5892 0.7500 0.9371

Computed, not measured: crystalline LaNdSi2 at its relaxed geometry at the GGA-PBE level of DFT.

Cell lengths 8.5610, 8.5610, 4.5151 Å; angles 90.00, 90.00, 138.94 degrees
Atoms (fractional coordinates):
La: 0.1726 0.8274 0.2500
La: 0.8274 0.1726 0.7500
Nd: 0.4196 0.5804 0.2500
Nd: 0.5804 0.4196 0.7500
Si: 0.9708 0.0292 0.2500
Si: 0.6951 0.3049 0.2500
Si: 0.3049 0.6951 0.7500
Si: 0.0292 0.9708 0.7500

Computed, not measured: crystalline FeCoAsIr at its relaxed geometry at the GGA-PBE level of DFT.

Cell lengths 4.2288, 4.2288, 4.2288 Å; angles 60.00, 60.00, 60.00 degrees
Site moments in Bohr magnetons follow the coordinates.
Atoms (fractional coordinates):
As: 0.0000 0.0000 0.0000  0.01
Co: 0.7500 0.7500 0.7500  1.53
Fe: 0.5000 0.5000 0.5000  2.82
Ir: 0.2500 0.2500 0.2500  0.58

Computed, not measured: crystalline ZnCu2Mo at its relaxed geometry at the GGA-PBE level of DFT.

Cell lengths 4.2367, 4.2367, 4.2367 Å; angles 60.00, 60.00, 60.00 degrees
Site moments in Bohr magnetons follow the coordinates.
Atoms (fractional coordinates):
Cu: 0.0000 0.0000 0.0000  0.08
Cu: 0.7500 0.7500 0.7500  0.00
Mo: 0.2500 0.2500 0.2500  0.90
Zn: 0.5000 0.5000 0.5000  0.03

Values from the calculation:
ΔH_f (0 K) (meV per atom): 330

Here are the calculated VASP energy numbers, same order: -3.24; -4.63; -4.22; -5.59; -7.12; -4.56 (eV/atom).